Material: Li2CoAgO
Method: DFT, PBE with a Hubbard U
State: optimized geometry

## Properties
Spin magnetization, μB/f.u.: 2.023
E_tot, eV/atom: -3.605

Structure (CIF):
```
data_Li2CoAgO
_space_group_name_H-M_alt 'P 4/m m m'
_space_group_IT_number 123
_space_group_name_Hall '-P 4 2'
_cell_length_a 4.975
_cell_length_b 4.975
_cell_length_c 3.477
_cell_angle_alpha 90.00
_cell_angle_beta 90.00
_cell_angle_gamma 90.00
loop_
_atom_site_label
_atom_site_type_symbol
_atom_site_fract_x
_atom_site_fract_y
_atom_site_fract_z
_atom_site_occupancy
Li1 Li 0.000 0.500 0.000 1
Co1 Co 0.000 0.000 0.000 1
Ag1 Ag 0.500 0.500 0.500 1
O1 O 0.000 0.000 0.500 1
```